The following is a DFT calculation (PBE-GGA) of a relaxed BeReRh crystal.

## Properties
ΔE_f: -0.2420 eV/atom
E_tot: -8.0839 eV per atom
Energy above the most stable polymorph in this dataset: 0.037 eV per atom
Mass density: 13.169 Mg/m³

Cell: 2.8363 4.1937 6.4781 Å, 90.00 102.64 90.00°
Space group P2_1/m (No. 11)
Asymmetric unit:
Be  0.0648  0.2500  0.1286 [2 per cell]
Re  0.2720  0.7500  0.5443 [2 per cell]
Rh  0.4147  0.2500  0.8296 [2 per cell]